# PBEsol CoReB3, optimized geometry
# - E_tot: -7.273 eV/atom
# - ΔE_f: 1.150 eV per atom
data_CoReB3
_chemical_formula_sum 'Co1 Re1 B3'
_cell_length_a 3.633
_cell_length_b 3.633
_cell_length_c 3.633
_cell_angle_alpha 90.00
_cell_angle_beta 90.00
_cell_angle_gamma 90.00
_symmetry_space_group_name_H-M 'P m -3 m'
_symmetry_Int_Tables_number 221
_symmetry_space_group_name_Hall '-P 4 2 3'
loop_
_atom_site_label
_atom_site_type_symbol
_atom_site_fract_x
_atom_site_fract_y
_atom_site_fract_z
Co1 Co 0.000 0.000 0.000
Re1 Re 0.500 0.500 0.500
B1 B 0.000 0.000 0.500

---

# PBEsol MgSc2Ta, optimized geometry
# - E_tot: -6.817 eV/atom
# - ΔE_f: 0.053 eV per atom
data_MgSc2Ta
_chemical_formula_sum 'Mg2 Sc4 Ta2'
_cell_length_a 4.166
_cell_length_b 4.357
_cell_length_c 9.367
_cell_angle_alpha 90.00
_cell_angle_beta 90.00
_cell_angle_gamma 90.00
_symmetry_space_group_name_H-M 'C m m m'
_symmetry_Int_Tables_number 65
_symmetry_space_group_name_Hall '-C 2 2'
loop_
_atom_site_label
_atom_site_type_symbol
_atom_site_fract_x
_atom_site_fract_y
_atom_site_fract_z
Mg1 Mg 0.000 0.000 0.000
Sc1 Sc 0.000 0.500 0.272
Ta1 Ta 0.000 0.000 0.500

---

# PBEsol NaSn2Hg2, optimized geometry
# - E_tot: -2.320 eV/atom
# - ΔE_f: -0.109 eV per atom
data_NaSn2Hg2
_chemical_formula_sum 'Na2 Sn4 Hg4'
_cell_length_a 4.497
_cell_length_b 4.497
_cell_length_c 13.283
_cell_angle_alpha 90.00
_cell_angle_beta 90.00
_cell_angle_gamma 90.00
_symmetry_space_group_name_H-M 'I 4/m m m'
_symmetry_Int_Tables_number 139
_symmetry_space_group_name_Hall '-I 4 2'
loop_
_atom_site_label
_atom_site_type_symbol
_atom_site_fract_x
_atom_site_fract_y
_atom_site_fract_z
Na1 Na 0.000 0.000 0.000
Sn1 Sn 0.000 0.500 0.250
Hg1 Hg 0.000 0.000 0.398

---

# PBEsol ScHgMo2, optimized geometry
# - E_tot: -7.400 eV/atom
# - ΔE_f: 0.277 eV per atom
data_ScHgMo2
_chemical_formula_sum 'Sc2 Hg2 Mo4'
_cell_length_a 9.443
_cell_length_b 2.823
_cell_length_c 5.237
_cell_angle_alpha 90.00
_cell_angle_beta 94.30
_cell_angle_gamma 90.00
_symmetry_space_group_name_H-M 'C 1 m 1'
_symmetry_Int_Tables_number 8
loop_
_symmetry_equiv_pos_as_xyz
'x,y,z'
'x,-y,z'
'x+1/2,y+1/2,z'
'x+1/2,-y+1/2,z'
loop_
_atom_site_label
_atom_site_type_symbol
_atom_site_fract_x
_atom_site_fract_y
_atom_site_fract_z
Sc1 Sc 0.000 0.000 0.000
Hg1 Hg 0.257 0.000 0.760
Mo1 Mo 0.020 0.500 0.482
Mo2 Mo 0.260 0.500 0.270

---

# PBEsol Ba3Bi2PbO9, optimized geometry
# - E_tot: -6.231 eV/atom
data_Ba3Bi2PbO9
_chemical_formula_sum 'Ba12 Bi8 Pb4 O36'
_cell_length_a 10.613
_cell_length_b 6.117
_cell_length_c 15.055
_cell_angle_alpha 90.00
_cell_angle_beta 90.56
_cell_angle_gamma 90.00
_symmetry_space_group_name_H-M 'C 1 2/m 1'
_symmetry_Int_Tables_number 12
loop_
_symmetry_equiv_pos_as_xyz
'x,y,z'
'-x,-y,-z'
'-x,y,-z'
'x,-y,z'
'x+1/2,y+1/2,z'
'-x+1/2,-y+1/2,-z'
'-x+1/2,y+1/2,-z'
'x+1/2,-y+1/2,z'
loop_
_atom_site_label
_atom_site_type_symbol
_atom_site_fract_x
_atom_site_fract_y
_atom_site_fract_z
Ba1 Ba 0.002 0.000 0.246
Ba2 Ba 0.165 0.500 0.085
Ba3 Ba 0.168 0.500 0.583
Bi1 Bi 0.000 0.000 0.000
Bi2 Bi 0.000 0.000 0.500
Bi3 Bi 0.167 0.500 0.332
Pb1 Pb 0.167 0.500 0.834
O1 O 0.022 0.500 0.728
O2 O 0.059 0.250 0.905
O3 O 0.108 0.250 0.429
O4 O 0.143 0.000 0.606
O5 O 0.188 0.000 0.062
O6 O 0.225 0.249 0.237

---

# PBEsol InCoSeBr2, optimized geometry
# - E_tot: -3.780 eV/atom
data_InCoSeBr2
_chemical_formula_sum 'In1 Co1 Se1 Br2'
_cell_length_a 5.088
_cell_length_b 5.088
_cell_length_c 4.445
_cell_angle_alpha 90.00
_cell_angle_beta 90.00
_cell_angle_gamma 90.00
_symmetry_space_group_name_H-M 'P 4/m m m'
_symmetry_Int_Tables_number 123
_symmetry_space_group_name_Hall '-P 4 2'
loop_
_atom_site_label
_atom_site_type_symbol
_atom_site_fract_x
_atom_site_fract_y
_atom_site_fract_z
In1 In 0.000 0.000 0.000
Co1 Co 0.500 0.500 0.500
Se1 Se 0.500 0.500 0.000
Br1 Br 0.000 0.500 0.500

---

# PBEsol POsRh2, optimized geometry
# - E_tot: -8.747 eV/atom
# - ΔE_f: -0.176 eV per atom
data_POsRh2
_chemical_formula_sum 'P2 Os2 Rh4'
_cell_length_a 2.782
_cell_length_b 4.198
_cell_length_c 9.099
_cell_angle_alpha 90.00
_cell_angle_beta 90.00
_cell_angle_gamma 90.00
_symmetry_space_group_name_H-M 'I m m 2'
_symmetry_Int_Tables_number 44
loop_
_symmetry_equiv_pos_as_xyz
'x,y,z'
'-x,-y,z'
'-x,y,z'
'x,-y,z'
'x+1/2,y+1/2,z+1/2'
'-x+1/2,-y+1/2,z+1/2'
'-x+1/2,y+1/2,z+1/2'
'x+1/2,-y+1/2,z+1/2'
loop_
_atom_site_label
_atom_site_type_symbol
_atom_site_fract_x
_atom_site_fract_y
_atom_site_fract_z
P1 P 0.000 0.000 0.000
Os1 Os 0.000 0.500 0.298
Rh1 Rh 0.000 0.000 0.509
Rh2 Rh 0.000 0.500 0.705

---

# PBEsol Na2Bi2Pd, optimized geometry
# - E_tot: -3.748 eV/atom
# - ΔE_f: -0.282 eV per atom
data_Na2Bi2Pd
_chemical_formula_sum 'Na4 Bi4 Pd2'
_cell_length_a 7.166
_cell_length_b 7.166
_cell_length_c 5.170
_cell_angle_alpha 90.00
_cell_angle_beta 90.00
_cell_angle_gamma 90.00
_symmetry_space_group_name_H-M 'P 4/m b m'
_symmetry_Int_Tables_number 127
_symmetry_space_group_name_Hall '-P 4 2ab'
loop_
_atom_site_label
_atom_site_type_symbol
_atom_site_fract_x
_atom_site_fract_y
_atom_site_fract_z
Na1 Na 0.167 0.333 0.000
Bi1 Bi 0.151 0.651 0.500
Pd1 Pd 0.000 0.000 0.500

---

# PBEsol MgCd4Sb, optimized geometry
# - E_tot: -1.770 eV/atom
data_MgCd4Sb
_chemical_formula_sum 'Mg4 Cd16 Sb4'
_cell_length_a 8.183
_cell_length_b 8.183
_cell_length_c 8.183
_cell_angle_alpha 90.00
_cell_angle_beta 90.00
_cell_angle_gamma 90.00
_symmetry_space_group_name_H-M 'F -4 3 m'
_symmetry_Int_Tables_number 216
_symmetry_space_group_name_Hall 'F -4 2 3'
loop_
_atom_site_label
_atom_site_type_symbol
_atom_site_fract_x
_atom_site_fract_y
_atom_site_fract_z
Mg1 Mg 0.000 0.000 0.000
Cd1 Cd 0.125 0.125 0.375
Sb1 Sb 0.250 0.250 0.750

---

# PBEsol FeTcW2, optimized geometry
# - E_tot: -11.719 eV/atom
# - ΔE_f: 0.242 eV per atom
# - Offset from the most stable computed form: 115 meV per atom
data_FeTcW2
_chemical_formula_sum 'Fe2 Tc2 W4'
_cell_length_a 3.770
_cell_length_b 3.770
_cell_length_c 7.900
_cell_angle_alpha 90.00
_cell_angle_beta 90.00
_cell_angle_gamma 90.00
_symmetry_space_group_name_H-M 'I -4 m 2'
_symmetry_Int_Tables_number 119
_symmetry_space_group_name_Hall 'I -4 -2'
loop_
_atom_site_label
_atom_site_type_symbol
_atom_site_fract_x
_atom_site_fract_y
_atom_site_fract_z
Fe1 Fe 0.000 0.000 0.000
Tc1 Tc 0.000 0.500 0.250
W1 W 0.000 0.000 0.500
W2 W 0.000 0.500 0.750

---

# PBEsol La2CoAg, optimized geometry
# - E_tot: -5.495 eV/atom
# - ΔE_f: -0.060 eV per atom
data_La2CoAg
_chemical_formula_sum 'La6 Co3 Ag3'
_cell_length_a 3.9554
_cell_length_b 3.9554
_cell_length_c 22.5628
_cell_angle_alpha 90.00
_cell_angle_beta 90.00
_cell_angle_gamma 120.00
_symmetry_space_group_name_H-M 'R -3 m'
_symmetry_Int_Tables_number 166
_symmetry_space_group_name_Hall '-R 3 2"'
loop_
_atom_site_label
_atom_site_type_symbol
_atom_site_fract_x
_atom_site_fract_y
_atom_site_fract_z
La1 La 0.0000 0.0000 0.2342
Co1 Co 0.0000 0.0000 0.5000
Ag1 Ag 0.0000 0.0000 0.0000

---

# PBEsol YGe3Sb, optimized geometry
# - E_tot: -4.453 eV/atom
# - Offset from the most stable computed form: 179 meV per atom
data_YGe3Sb
_chemical_formula_sum 'Y1 Ge3 Sb1'
_cell_length_a 5.280
_cell_length_b 5.280
_cell_length_c 5.280
_cell_angle_alpha 90.00
_cell_angle_beta 90.00
_cell_angle_gamma 90.00
_symmetry_space_group_name_H-M 'P m -3 m'
_symmetry_Int_Tables_number 221
_symmetry_space_group_name_Hall '-P 4 2 3'
loop_
_atom_site_label
_atom_site_type_symbol
_atom_site_fract_x
_atom_site_fract_y
_atom_site_fract_z
Y1 Y 0.000 0.000 0.000
Ge1 Ge 0.000 0.000 0.500
Sb1 Sb 0.500 0.500 0.500

---

# PBEsol Zr2MoW, optimized geometry
# - E_tot: -10.830 eV/atom
# - ΔE_f: 0.109 eV per atom
# - Offset from the most stable computed form: 0 meV per atom
data_Zr2MoW
_chemical_formula_sum 'Zr4 Mo2 W2'
_cell_length_a 3.201
_cell_length_b 4.790
_cell_length_c 9.539
_cell_angle_alpha 90.00
_cell_angle_beta 90.00
_cell_angle_gamma 90.00
_symmetry_space_group_name_H-M 'C m m 2'
_symmetry_Int_Tables_number 35
loop_
_symmetry_equiv_pos_as_xyz
'x,y,z'
'-x,-y,z'
'-x,y,z'
'x,-y,z'
'x+1/2,y+1/2,z'
'-x+1/2,-y+1/2,z'
'-x+1/2,y+1/2,z'
'x+1/2,-y+1/2,z'
loop_
_atom_site_label
_atom_site_type_symbol
_atom_site_fract_x
_atom_site_fract_y
_atom_site_fract_z
Zr1 Zr 0.000 0.000 0.000
Zr2 Zr 0.000 0.500 0.296
Mo1 Mo 0.000 0.000 0.539
W1 W 0.000 0.500 0.753

---

# PBEsol Zr5ZnSn3, optimized geometry
# - E_tot: -7.293 eV/atom
# - ΔE_f: -0.647 eV per atom
data_Zr5ZnSn3
_chemical_formula_sum 'Zr10 Zn2 Sn6'
_cell_length_a 8.5807
_cell_length_b 8.5807
_cell_length_c 5.8183
_cell_angle_alpha 90.00
_cell_angle_beta 90.00
_cell_angle_gamma 120.00
_symmetry_space_group_name_H-M 'P 63/m c m'
_symmetry_Int_Tables_number 193
_symmetry_space_group_name_Hall '-P 6c 2'
loop_
_atom_site_label
_atom_site_type_symbol
_atom_site_fract_x
_atom_site_fract_y
_atom_site_fract_z
Zr1 Zr 0.0000 0.2677 0.2500
Zr2 Zr 0.3333 0.6667 0.0000
Zn1 Zn 0.0000 0.0000 0.0000
Sn1 Sn 0.0000 0.3843 0.7500

---

# PBEsol FeRu2Se, optimized geometry
# - E_tot: -7.979 eV/atom
data_FeRu2Se
_chemical_formula_sum 'Fe3 Ru6 Se3'
_cell_length_a 2.8250
_cell_length_b 2.8250
_cell_length_c 23.7006
_cell_angle_alpha 90.00
_cell_angle_beta 90.00
_cell_angle_gamma 120.00
_symmetry_space_group_name_H-M 'R -3 m'
_symmetry_Int_Tables_number 166
_symmetry_space_group_name_Hall '-R 3 2"'
loop_
_atom_site_label
_atom_site_type_symbol
_atom_site_fract_x
_atom_site_fract_y
_atom_site_fract_z
Fe1 Fe 0.0000 0.0000 0.0000
Ru1 Ru 0.0000 0.0000 0.2501
Se1 Se 0.0000 0.0000 0.5000

---

# PBEsol Tl3CoSi, optimized geometry
# - E_tot: -3.168 eV/atom
data_Tl3CoSi
_chemical_formula_sum 'Tl3 Co1 Si1'
_cell_length_a 5.161
_cell_length_b 5.161
_cell_length_c 5.161
_cell_angle_alpha 90.00
_cell_angle_beta 90.00
_cell_angle_gamma 90.00
_symmetry_space_group_name_H-M 'P m -3 m'
_symmetry_Int_Tables_number 221
_symmetry_space_group_name_Hall '-P 4 2 3'
loop_
_atom_site_label
_atom_site_type_symbol
_atom_site_fract_x
_atom_site_fract_y
_atom_site_fract_z
Tl1 Tl 0.000 0.000 0.500
Co1 Co 0.500 0.500 0.500
Si1 Si 0.000 0.000 0.000

---

# PBEsol LiFeSe, optimized geometry
# - E_tot: -4.774 eV/atom
data_LiFeSe
_chemical_formula_sum 'Li4 Fe4 Se4'
_cell_length_a 5.638
_cell_length_b 5.638
_cell_length_c 5.638
_cell_angle_alpha 90.00
_cell_angle_beta 90.00
_cell_angle_gamma 90.00
_symmetry_space_group_name_H-M 'F -4 3 m'
_symmetry_Int_Tables_number 216
_symmetry_space_group_name_Hall 'F -4 2 3'
loop_
_atom_site_label
_atom_site_type_symbol
_atom_site_fract_x
_atom_site_fract_y
_atom_site_fract_z
Li1 Li 0.000 0.000 0.000
Fe1 Fe 0.250 0.250 0.750
Se1 Se 0.250 0.250 0.250

---

# PBEsol Mg2TaAg, optimized geometry
# - E_tot: -4.645 eV/atom
# - ΔE_f: 0.179 eV per atom
# - Offset from the most stable computed form: 107 meV per atom
data_Mg2TaAg
_chemical_formula_sum 'Mg6 Ta3 Ag3'
_cell_length_a 2.9374
_cell_length_b 2.9374
_cell_length_c 29.8453
_cell_angle_alpha 90.00
_cell_angle_beta 90.00
_cell_angle_gamma 120.00
_symmetry_space_group_name_H-M 'R 3 m'
_symmetry_Int_Tables_number 160
_symmetry_space_group_name_Hall 'R 3 -2"'
loop_
_atom_site_label
_atom_site_type_symbol
_atom_site_fract_x
_atom_site_fract_y
_atom_site_fract_z
Mg1 Mg 0.0000 0.0000 0.0000
Mg2 Mg 0.0000 0.0000 0.2429
Ta1 Ta 0.0000 0.0000 0.7512
Ag1 Ag 0.0000 0.0000 0.4981

---

# PBEsol Tl2SbPb, optimized geometry
# - E_tot: -3.422 eV/atom
# - Offset from the most stable computed form: 29 meV per atom
data_Tl2SbPb
_chemical_formula_sum 'Tl4 Sb2 Pb2'
_cell_length_a 11.849
_cell_length_b 3.505
_cell_length_c 5.759
_cell_angle_alpha 90.00
_cell_angle_beta 108.09
_cell_angle_gamma 90.00
_symmetry_space_group_name_H-M 'C 1 2/m 1'
_symmetry_Int_Tables_number 12
loop_
_symmetry_equiv_pos_as_xyz
'x,y,z'
'-x,-y,-z'
'-x,y,-z'
'x,-y,z'
'x+1/2,y+1/2,z'
'-x+1/2,-y+1/2,-z'
'-x+1/2,y+1/2,-z'
'x+1/2,-y+1/2,z'
loop_
_atom_site_label
_atom_site_type_symbol
_atom_site_fract_x
_atom_site_fract_y
_atom_site_fract_z
Tl1 Tl 0.243 0.000 0.245
Sb1 Sb 0.000 0.500 0.000
Pb1 Pb 0.000 0.000 0.500

---

# PBEsol ReTcC2N, optimized geometry
# - E_tot: -8.140 eV/atom
data_ReTcC2N
_chemical_formula_sum 'Re1 Tc1 C2 N1'
_cell_length_a 3.794
_cell_length_b 3.794
_cell_length_c 3.579
_cell_angle_alpha 90.00
_cell_angle_beta 90.00
_cell_angle_gamma 90.00
_symmetry_space_group_name_H-M 'P 4/m m m'
_symmetry_Int_Tables_number 123
_symmetry_space_group_name_Hall '-P 4 2'
loop_
_atom_site_label
_atom_site_type_symbol
_atom_site_fract_x
_atom_site_fract_y
_atom_site_fract_z
Re1 Re 0.000 0.000 0.000
Tc1 Tc 0.500 0.500 0.000
C1 C 0.000 0.500 0.500
N1 N 0.500 0.500 0.500

---

no.,magnetic moment (μB/f.u.),density of states at the Fermi level (states/eV/atom)
1,0.0,0.709
2,0.0,1.167
3,0.0,0.284
4,0.0,0.839
5,0.0,0.100
6,0.0,0.837
7,0.0,0.511
8,0.0,0.339
9,0.0,0.435
10,0.8,1.049
11,0.0,0.468
12,0.0,0.764
13,0.0,1.073
14,0.0,0.710
15,2.9,0.957
16,1.9,0.866
17,3.1,1.688
18,0.0,0.748
19,0.0,0.488
20,0.0,0.790